# 1
Here is a crystal of GeSbTe2F relaxed with PBEsol from the Alexandria database. Energies are from meta-GGA SCAN.

abc: 5.298 5.298 4.340
angles: 90.00 90.00 90.00
Space group P4/mmm (No. 123)
Unique sites:
Ge: 0.000 0.000 0.000 [1 per cell]
Sb: 0.500 0.500 0.000 [1 per cell]
Te: 0.000 0.500 0.500 [2 per cell]
F: 0.500 0.500 0.500 [1 per cell]

ρ = 6.39 g/cm³
formation energy (no corrections) = 13.9 kJ per mole of atoms
crystal system = tetragonal

# 2
Here is a crystal of ZnAgAu2 relaxed with PBEsol from the Alexandria database. Energies are from meta-GGA SCAN.

abc: 3.802 4.101 8.246
angles: 90.00 90.00 90.00
Space group Imm2 (No. 44)
Unique sites:
Zn: 0.000 0.000 0.000 [2 per cell]
Ag: 0.000 0.500 0.744 [2 per cell]
Au: 0.000 0.000 0.503 [2 per cell]
Au: 0.000 0.500 0.261 [2 per cell]

ρ = 14.65 g/cm³
ΔH_f (0 K) = -14.3 kJ/mol of atoms
crystal system = orthorhombic

# 3
Here is a crystal of InHg3 relaxed with PBEsol from the Alexandria database. Energies are from meta-GGA SCAN.

abc: 3.252 5.388 5.440
angles: 90.00 90.00 90.00
Space group Pmm2 (No. 25)
Unique sites:
In: 0.000 0.000 0.000 [1 per cell]
Hg: 0.000 0.500 0.663 [1 per cell]
Hg: 0.500 0.000 0.501 [1 per cell]
Hg: 0.500 0.500 0.166 [1 per cell]

ρ = 12.49 g/cm³
ΔH_f (0 K) = 2.3 kJ/mol of atoms
crystal system = orthorhombic

# 4
Here is a crystal of MnReCl2 relaxed with PBEsol from the Alexandria database. Energies are from meta-GGA SCAN.

abc: 2.855 4.011 5.600
angles: 90.00 100.59 90.00
Space group P2/m (No. 10)
Unique sites:
Mn: 0.000 0.000 0.000 [1 per cell]
Re: 0.500 0.000 0.500 [1 per cell]
Cl: 0.410 0.500 0.252 [2 per cell]

ρ = 8.22 g/cm³
formation energy (no corrections) = 34.6 kJ per mole of atoms
crystal system = monoclinic

# 5
Here is a crystal of TiGa4O8 relaxed with PBEsol from the Alexandria database. Energies are from meta-GGA SCAN.

abc: 12.279 3.026 9.501
angles: 90.00 124.25 90.00
Space group C2/m (No. 12)
Unique sites:
Ti: 0.000 0.000 0.000 [2 per cell]
Ga: 0.035 0.500 0.712 [4 per cell]
Ga: 0.240 0.000 0.637 [4 per cell]
O: 0.056 0.500 0.920 [4 per cell]
O: 0.108 0.000 0.689 [4 per cell]
O: 0.146 0.500 0.460 [4 per cell]
O: 0.166 0.000 0.219 [4 per cell]

ρ = 5.18 g/cm³
formation energy (no corrections) = -226.8 kJ per mole of atoms
crystal system = monoclinic

# 6
Here is a crystal of Mn2NiP relaxed with PBEsol from the Alexandria database. Energies are from meta-GGA SCAN.

abc: 2.586 3.433 4.906
angles: 90.00 90.00 90.00
Space group Pmmm (No. 47)
Unique sites:
Mn: 0.000 0.000 0.246 [2 per cell]
Ni: 0.500 0.500 0.500 [1 per cell]
P: 0.500 0.500 0.000 [1 per cell]

ρ = 7.61 g/cm³
ΔH_f (0 K) = -22.6 kJ/mol of atoms
crystal system = orthorhombic

# 7
Here is a crystal of BPd3 relaxed with PBEsol from the Alexandria database. Energies are from meta-GGA SCAN.

abc: 5.445 7.531 4.832
angles: 90.00 90.00 90.00
Space group Pnma (No. 62)
Unique sites:
B: 0.112 0.250 0.064 [4 per cell]
Pd: 0.038 0.750 0.346 [4 per cell]
Pd: 0.180 0.570 0.827 [8 per cell]

ρ = 11.06 g/cm³
ΔH_f (0 K) = -29.6 kJ/mol of atoms
crystal system = orthorhombic

# 8
Here is a crystal of ScIn2Hg relaxed with PBEsol from the Alexandria database. Energies are from meta-GGA SCAN.

abc: 4.312 4.312 9.319
angles: 90.00 90.00 90.00
Space group I-4m2 (No. 119)
Unique sites:
Sc: 0.000 0.000 0.000 [2 per cell]
In: 0.000 0.000 0.500 [2 per cell]
In: 0.000 0.500 0.750 [2 per cell]
Hg: 0.000 0.500 0.250 [2 per cell]

ρ = 9.11 g/cm³
ΔH_f (0 K) = -32.9 kJ/mol of atoms
crystal system = tetragonal

# 9
Here is a crystal of NiAs2Ru relaxed with PBEsol from the Alexandria database. Energies are from meta-GGA SCAN.

abc: 4.275 4.275 2.995
angles: 90.00 90.00 90.00
Space group P4/mmm (No. 123)
Unique sites:
Ni: 0.000 0.000 0.000 [1 per cell]
As: 0.000 0.500 0.500 [2 per cell]
Ru: 0.500 0.500 0.000 [1 per cell]

ρ = 9.39 g/cm³
ΔH_f (0 K) = 5.4 kJ/mol of atoms
crystal system = tetragonal

# 10
Here is a crystal of LiLaCd relaxed with PBEsol from the Alexandria database. Energies are from meta-GGA SCAN.

abc: 5.0625 5.0625 3.3196
angles: 90.00 90.00 120.00
Space group P-6m2 (No. 187)
Unique sites:
Li: 0.0000 0.0000 0.0000 [1 per cell]
La: 0.6667 0.3333 0.5000 [1 per cell]
Cd: 0.3333 0.6667 0.0000 [1 per cell]

ρ = 5.82 g/cm³
ΔH_f (0 K) = -27.6 kJ/mol of atoms
crystal system = hexagonal

# 11
Here is a crystal of GaSBr2N relaxed with PBEsol from the Alexandria database. Energies are from meta-GGA SCAN.

abc: 6.225 6.225 3.190
angles: 90.00 90.00 90.00
Space group P4/mmm (No. 123)
Unique sites:
Ga: 0.000 0.000 0.000 [1 per cell]
S: 0.500 0.500 0.000 [1 per cell]
Br: 0.000 0.500 0.500 [2 per cell]
N: 0.500 0.500 0.500 [1 per cell]

ρ = 3.70 g/cm³
formation energy (no corrections) = 62.9 kJ per mole of atoms
crystal system = tetragonal

# 12
Here is a crystal of Mn2CdIn relaxed with PBEsol from the Alexandria database. Energies are from meta-GGA SCAN.

abc: 4.110 4.110 7.658
angles: 90.00 90.00 90.00
Space group I4/mmm (No. 139)
Unique sites:
Mn: 0.000 0.500 0.250 [4 per cell]
Cd: 0.000 0.000 0.000 [2 per cell]
In: 0.000 0.000 0.500 [2 per cell]

ρ = 8.65 g/cm³
ΔH_f (0 K) = -1.7 kJ/mol of atoms
crystal system = tetragonal

# 13
Here is a crystal of ThNF relaxed with PBEsol from the Alexandria database. Energies are from meta-GGA SCAN.

abc: 3.9752 3.9752 20.1762
angles: 90.00 90.00 120.00
Space group R-3m (No. 166, hexagonal axes)
Unique sites:
Th: 0.0000 0.0000 0.2388 [6 per cell]
N: 0.0000 0.0000 0.1225 [6 per cell]
F: 0.0000 0.0000 0.3684 [6 per cell]

ρ = 9.56 g/cm³
formation energy (no corrections) = -299.3 kJ per mole of atoms
crystal system = trigonal

# 14
Here is a crystal of Li3Mg relaxed with PBEsol from the Alexandria database. Energies are from meta-GGA SCAN.

abc: 4.287 4.287 4.287
angles: 90.00 90.00 90.00
Space group Pm-3m (No. 221)
Unique sites:
Li: 0.000 0.000 0.500 [3 per cell]
Mg: 0.500 0.500 0.500 [1 per cell]

ρ = 0.95 g/cm³
ΔH_f (0 K) = -1.6 kJ/mol of atoms
crystal system = cubic

# 15
Here is a crystal of Co2MoP relaxed with PBEsol from the Alexandria database. Energies are from meta-GGA SCAN.

abc: 2.835 4.022 8.009
angles: 90.00 90.00 90.00
Space group Immm (No. 71)
Unique sites:
Co: 0.000 0.000 0.221 [4 per cell]
Mo: 0.000 0.500 0.000 [2 per cell]
P: 0.000 0.500 0.500 [2 per cell]

ρ = 8.90 g/cm³
ΔH_f (0 K) = -2.6 kJ/mol of atoms
crystal system = orthorhombic

# 16
Here is a crystal of TiZnSb2Te relaxed with PBEsol from the Alexandria database. Energies are from meta-GGA SCAN.

abc: 5.037 5.037 5.270
angles: 90.00 90.00 90.00
Space group P4/mmm (No. 123)
Unique sites:
Ti: 0.000 0.000 0.000 [1 per cell]
Zn: 0.500 0.500 0.500 [1 per cell]
Sb: 0.000 0.500 0.500 [2 per cell]
Te: 0.500 0.500 0.000 [1 per cell]

ρ = 6.01 g/cm³
formation energy (no corrections) = 61.5 kJ per mole of atoms
crystal system = tetragonal

# 17
Here is a crystal of Li2CaP relaxed with PBEsol from the Alexandria database. Energies are from meta-GGA SCAN.

abc: 3.230 3.958 5.963
angles: 90.00 90.00 90.00
Space group Pmmm (No. 47)
Unique sites:
Li: 0.000 0.000 0.187 [2 per cell]
Ca: 0.500 0.500 0.500 [1 per cell]
P: 0.500 0.500 0.000 [1 per cell]

ρ = 1.85 g/cm³
ΔH_f (0 K) = -29.9 kJ/mol of atoms
crystal system = orthorhombic

# 18
Here is a crystal of ZrTlIr2F relaxed with PBEsol from the Alexandria database. Energies are from meta-GGA SCAN.

abc: 4.947 4.947 3.997
angles: 90.00 90.00 90.00
Space group P4/mmm (No. 123)
Unique sites:
Zr: 0.000 0.000 0.000 [1 per cell]
Tl: 0.500 0.500 0.500 [1 per cell]
Ir: 0.000 0.500 0.000 [2 per cell]
F: 0.000 0.000 0.500 [1 per cell]

ρ = 11.87 g/cm³
formation energy (no corrections) = -10.1 kJ per mole of atoms
crystal system = tetragonal

# 19
Here is a crystal of AlSBrN2 relaxed with PBEsol from the Alexandria database. Energies are from meta-GGA SCAN.

abc: 3.688 3.688 5.582
angles: 90.00 90.00 90.00
Space group P4/mmm (No. 123)
Unique sites:
Al: 0.000 0.000 0.000 [1 per cell]
S: 0.000 0.000 0.500 [1 per cell]
Br: 0.500 0.500 0.500 [1 per cell]
N: 0.000 0.500 0.000 [2 per cell]

ρ = 3.65 g/cm³
formation energy (no corrections) = 76.9 kJ per mole of atoms
crystal system = tetragonal

# 20
Here is a crystal of CdPPtCl2 relaxed with PBEsol from the Alexandria database. Energies are from meta-GGA SCAN.

abc: 4.898 4.898 4.579
angles: 90.00 90.00 90.00
Space group P4/mmm (No. 123)
Unique sites:
Cd: 0.000 0.000 0.000 [1 per cell]
P: 0.500 0.500 0.000 [1 per cell]
Pt: 0.500 0.500 0.500 [1 per cell]
Cl: 0.000 0.500 0.500 [2 per cell]

ρ = 6.19 g/cm³
formation energy (no corrections) = 7.9 kJ per mole of atoms
crystal system = tetragonal

# 21
Here is a crystal of Al2TlSe relaxed with PBEsol from the Alexandria database. Energies are from meta-GGA SCAN.

abc: 6.124 6.124 11.583
angles: 90.00 90.00 90.00
Space group I-42d (No. 122)
Unique sites:
Al: 0.233 0.250 0.125 [8 per cell]
Tl: 0.000 0.000 0.500 [4 per cell]
Se: 0.000 0.000 0.000 [4 per cell]

ρ = 5.16 g/cm³
formation energy (no corrections) = -5.2 kJ per mole of atoms
crystal system = tetragonal

# 22
Here is a crystal of SiAg2P2 relaxed with PBEsol from the Alexandria database. Energies are from meta-GGA SCAN.

abc: 6.510 6.510 8.383
angles: 90.00 90.00 90.00
Space group I-42d (No. 122)
Unique sites:
Si: 0.000 0.000 0.000 [4 per cell]
Ag: 0.053 0.250 0.625 [8 per cell]
P: 0.174 0.750 0.125 [8 per cell]

ρ = 5.72 g/cm³
formation energy (no corrections) = -9.9 kJ per mole of atoms
crystal system = tetragonal

# 23
Here is a crystal of Li2LaMo relaxed with PBEsol from the Alexandria database. Energies are from meta-GGA SCAN.

abc: 6.670 6.670 6.670
angles: 90.00 90.00 90.00
Space group F-43m (No. 216)
Unique sites:
Li: 0.000 0.000 0.000 [4 per cell]
Li: 0.250 0.250 0.250 [4 per cell]
La: 0.250 0.250 0.750 [4 per cell]
Mo: 0.000 0.000 0.500 [4 per cell]

ρ = 5.57 g/cm³
ΔH_f (0 K) = 63.2 kJ/mol of atoms
crystal system = cubic

# 24
Here is a crystal of Cs2RbTl2 relaxed with PBEsol from the Alexandria database. Energies are from meta-GGA SCAN.

abc: 9.245 9.245 6.279
angles: 90.00 90.00 90.00
Space group P4/mbm (No. 127)
Unique sites:
Cs: 0.176 0.324 0.000 [4 per cell]
Rb: 0.000 0.000 0.500 [2 per cell]
Tl: 0.111 0.611 0.500 [4 per cell]

ρ = 4.70 g/cm³
ΔH_f (0 K) = -8.4 kJ/mol of atoms
crystal system = tetragonal

# 25
Here is a crystal of KZn2Cu relaxed with PBEsol from the Alexandria database. Energies are from meta-GGA SCAN.

abc: 4.361 5.709 7.251
angles: 90.00 90.00 90.00
Space group Imm2 (No. 44)
Unique sites:
K: 0.000 0.000 0.000 [2 per cell]
Zn: 0.000 0.000 0.477 [2 per cell]
Zn: 0.000 0.500 0.174 [2 per cell]
Cu: 0.000 0.500 0.832 [2 per cell]

ρ = 4.30 g/cm³
ΔH_f (0 K) = 36.2 kJ/mol of atoms
crystal system = orthorhombic

# 26
Here is a crystal of Cd3Au relaxed with PBEsol from the Alexandria database. Energies are from meta-GGA SCAN.

abc: 3.481 3.790 5.901
angles: 90.00 90.00 90.00
Space group Pmmm (No. 47)
Unique sites:
Cd: 0.000 0.000 0.000 [1 per cell]
Cd: 0.500 0.500 0.258 [2 per cell]
Au: 0.000 0.000 0.500 [1 per cell]

ρ = 11.40 g/cm³
ΔH_f (0 K) = -11.8 kJ/mol of atoms
crystal system = orthorhombic

# 27
Here is a crystal of Ag5Pb relaxed with PBEsol from the Alexandria database. Energies are from meta-GGA SCAN.

abc: 3.295 3.295 10.285
angles: 90.00 90.00 90.00
Space group P4/mmm (No. 123)
Unique sites:
Ag: 0.000 0.000 0.000 [1 per cell]
Ag: 0.000 0.000 0.300 [2 per cell]
Ag: 0.500 0.500 0.149 [2 per cell]
Pb: 0.500 0.500 0.500 [1 per cell]

ρ = 11.10 g/cm³
ΔH_f (0 K) = 6.6 kJ/mol of atoms
crystal system = tetragonal

# 28
Here is a crystal of CuCBr2 relaxed with PBEsol from the Alexandria database. Energies are from meta-GGA SCAN.

abc: 3.4946 3.4946 22.3344
angles: 90.00 90.00 120.00
Space group R-3m (No. 166, hexagonal axes)
Unique sites:
Cu: 0.0000 0.0000 0.0000 [3 per cell]
C: 0.0000 0.0000 0.5000 [3 per cell]
Br: 0.0000 0.0000 0.1020 [6 per cell]

ρ = 4.96 g/cm³
formation energy (no corrections) = 151.9 kJ per mole of atoms
crystal system = trigonal